A plane-wave DFT calculation with GGA-PBE was carried out for a relaxed SrFe2Sb crystal.

abc: 4.891 4.891 4.891
angles: 60.00 60.00 60.00
Positions (direct):
Sr  0.000  0.000  0.000
Fe  0.500  0.500  0.500
Fe  0.750  0.750  0.750
Sb  0.250  0.250  0.250

## Properties
- SG: F-43m (216)
- Calculated total energy: -5.218 eV/atom
- Total magnetic moment: 5.4 Bohr magnetons per cell
- Crystal system: cubic
- Uncorrected formation energy: 0.465 eV/atom